The following is a DFT calculation (PBE) of a relaxed Tb3Cd4Hg2 crystal.

Cell: 4.978 6.043 9.247 Å, 116.42 90.00 114.32°
Fractional positions:
Cd 0.725 0.450 0.055
Cd 0.275 0.550 0.945
Cd 0.050 0.101 0.385
Cd 0.950 0.899 0.615
Tb 0.669 0.338 0.664
Tb 0.331 0.662 0.336
Tb 0.000 0.000 0.000
Hg 0.610 0.220 0.276
Hg 0.390 0.780 0.724

Computed properties:
ΔE to the lowest computed polymorph = 2.66 kJ/mol of atoms